# Tb6PrY2Ho3

A relaxed structure of Tb6PrY2Ho3 (GGA-PBE, Alexandria via LeMat-Bulk).

- formation enthalpy at 0 K (kJ/mol of formula units) = 20
- space-group type = C2/m, No. 12
- V (Å³ per cell) = 384.66

Lattice parameters (Å, degrees): 6.1731 6.1731 11.8291 94.96 94.96 119.96
Fractional positions:
Tb 0.0817 0.4152 0.2470
Tb 0.2512 0.2512 0.7529
Tb 0.4152 0.0817 0.2470
Tb 0.5848 0.9183 0.7530
Tb 0.7488 0.7488 0.2471
Tb 0.9183 0.5848 0.7530
Pr 0.5000 0.5000 0.5000
Y 0.1667 0.8333 0.5000
Y 0.8333 0.1667 0.5000
Ho 0.0000 0.0000 0.0000
Ho 0.3330 0.6670 0.0000
Ho 0.6670 0.3330 0.0000

***

# TbPr2Y2Ho2

A relaxed structure of TbPr2Y2Ho2 (GGA-PBE, Alexandria via LeMat-Bulk).

- formation enthalpy at 0 K (kJ/mol of formula units) = 57
- space-group type = C2/m, No. 12
- V (Å³ per cell) = 469.59

Lattice parameters (Å, degrees): 11.8153 3.5316 11.8849 90.00 108.75 90.00
Fractional positions:
Tb 0.0000 0.0000 0.0000
Tb 0.5000 0.5000 0.0000
Pr 0.1722 0.5000 0.5860
Pr 0.3278 0.0000 0.4140
Pr 0.6722 0.0000 0.5860
Pr 0.8278 0.5000 0.4140
Y 0.0484 0.5000 0.2695
Y 0.4516 0.0000 0.7305
Y 0.5484 0.0000 0.2695
Y 0.9516 0.5000 0.7305
Ho 0.2280 0.0000 0.8659
Ho 0.2720 0.5000 0.1341
Ho 0.7280 0.5000 0.8659
Ho 0.7720 0.0000 0.1341

***

| no. | DOS at the Fermi energy (states/eV per atom) |
| --- | --- |
| 1 | 1.2976 |
| 2 | 1.6815 |